Material: BaZn2HgPt
Method: DFT, PBE
State: optimized geometry

Values from the calculation:
- Magnetization: 0.00 μB per formula unit
- Energy relative to the elements: -0.333 eV per atom
- Excess energy over the best structure of this formula in the dataset: 0.38 eV per formula unit

Cell: 4.9994 4.9994 5.9560 Å, 90.00 90.00 90.00°
Positions (direct):
Ba 0.0000 0.0000 0.0000
Zn 0.0000 0.5000 0.5000
Zn 0.5000 0.0000 0.5000
Hg 0.5000 0.5000 0.0000
Pt 0.0000 0.0000 0.5000

***

Material: KPuOsO6
Method: DFT, PBE
State: optimized geometry

Values from the calculation:
- Formation energy from raw total energies: -179 kJ per mole of atoms
- Magnetization: 3.35 μB per formula unit

Cell: 7.5202 7.5202 7.5202 Å, 121.63 118.29 90.09°
Positions (direct):
K 0.3652 0.1152 0.2500
K 0.6348 0.8848 0.7500
Pu 0.0000 0.5000 0.5000
Pu 0.5000 0.5000 0.0000
Os 0.0000 0.0000 0.5000
Os 0.0000 0.5000 0.0000
O 0.0373 0.7873 0.2500
O 0.0531 0.4122 0.2166
O 0.0531 0.8365 0.6408
O 0.3044 0.1635 0.7166
O 0.3044 0.5878 0.1408
O 0.3298 0.5798 0.7500
O 0.6702 0.4202 0.2500
O 0.6956 0.4122 0.8592
O 0.6956 0.8365 0.2834
O 0.9469 0.1635 0.3592
O 0.9469 0.5878 0.7834
O 0.9627 0.2127 0.7500

***

Material: PuPa2Pd8
Method: DFT, PBE
State: optimized geometry

Values from the calculation:
- Magnetization: 5.76 μB per formula unit
- Energy relative to the elements: -0.493 eV per atom

Cell: 7.0577 7.0577 5.5680 Å, 102.46 102.46 120.18°
Positions (direct):
Pu 0.0000 0.0000 0.0000
Pa 0.3476 0.6817 0.0760
Pa 0.6817 0.3476 0.0760
Pd 0.0334 0.8028 0.4415
Pd 0.1159 0.4477 0.3808
Pd 0.3007 0.3007 0.7292
Pd 0.4477 0.1159 0.3808
Pd 0.5028 0.9042 0.7359
Pd 0.5760 0.5760 0.4630
Pd 0.8028 0.0334 0.4415
Pd 0.9042 0.5028 0.7359

***

Material: Mg2CuBr
Method: DFT, PBE
State: optimized geometry

Values from the calculation:
- Formation energy from raw total energies: -6 kJ per mole of atoms
- Magnetization: 0.00 μB per formula unit
- Excess energy over the best structure of this formula in the dataset: 1.12 eV per formula unit

Cell: 5.0929 5.0929 3.1664 Å, 90.00 90.00 90.00°
Positions (direct):
Mg 0.0000 0.5000 0.0000
Mg 0.5000 0.0000 0.0000
Cu 0.0000 0.0000 0.5000
Br 0.5000 0.5000 0.5000

***

Material: MgCdCuCl2
Method: DFT, PBE
State: optimized geometry

Values from the calculation:
- Formation energy from raw total energies: -21 kJ per mole of atoms
- Magnetization: 0.00 μB per formula unit

Cell: 4.6136 4.6136 5.8936 Å, 90.00 90.00 90.00°
Positions (direct):
Mg 0.0000 0.0000 0.0000
Cd 0.5000 0.5000 0.0000
Cu 0.5000 0.5000 0.5000
Cl 0.0000 0.5000 0.5000
Cl 0.5000 0.0000 0.5000

***

Material: RbTiCu2Br8
Method: DFT, PBE
State: optimized geometry

Values from the calculation:
- Formation energy from raw total energies: -86 kJ per mole of atoms
- Magnetization: 0.00 μB per formula unit

Cell: 6.6338 7.0219 8.8168 Å, 75.45 81.78 86.69°
Positions (direct):
Rb 0.0000 0.0000 0.0000
Ti 0.0000 0.5000 0.5000
Cu 0.4759 0.5258 0.8169
Cu 0.5241 0.4742 0.1831
Br 0.1078 0.5127 0.7688
Br 0.1514 0.8220 0.3767
Br 0.3383 0.3207 0.4335
Br 0.4889 0.2356 0.0259
Br 0.5111 0.7644 0.9741
Br 0.6617 0.6793 0.5665
Br 0.8486 0.1780 0.6233
Br 0.8922 0.4873 0.2312

***

Material: CaInAg
Method: DFT, PBE
State: optimized geometry

Values from the calculation:
- Magnetization: 0.00 μB per formula unit
- Energy relative to the elements: -0.343 eV per atom

Cell: 14.8297 14.8297 14.8297 Å, 23.23 23.23 23.23°
Positions (direct):
Ca 0.0449 0.0449 0.0449
Ca 0.1792 0.1792 0.1792
Ca 0.2617 0.2617 0.2617
Ca 0.7383 0.7383 0.7383
Ca 0.8208 0.8208 0.8208
Ca 0.9551 0.9551 0.9551
In 0.0000 0.5000 0.5000
In 0.3949 0.3949 0.3949
In 0.5000 0.0000 0.5000
In 0.5000 0.5000 0.0000
In 0.5000 0.5000 0.5000
In 0.6051 0.6051 0.6051
Ag 0.2066 0.7267 0.7267
Ag 0.2733 0.2733 0.7934
Ag 0.2733 0.7934 0.2733
Ag 0.7267 0.2066 0.7267
Ag 0.7267 0.7267 0.2066
Ag 0.7934 0.2733 0.2733

***

Material: Sb2TeSe
Method: DFT, PBE
State: optimized geometry

Values from the calculation:
- Formation energy from raw total energies: 23 kJ per mole of atoms
- Magnetization: 0.00 μB per formula unit
- Excess energy over the best structure of this formula in the dataset: 1.09 eV per formula unit

Cell: 3.8302 4.6818 6.0222 Å, 90.00 90.00 90.00°
Positions (direct):
Sb 0.0000 0.0000 0.0000
Sb 0.5000 0.0000 0.5000
Te 0.0000 0.5000 0.5000
Se 0.5000 0.5000 0.0000

***

Material: RbCrGaPt2
Method: DFT, PBE
State: optimized geometry

Values from the calculation:
- Magnetization: 4.93 μB per formula unit
- Energy relative to the elements: 0.753 eV per atom

Cell: 4.7740 4.7740 5.6070 Å, 90.00 90.00 90.00°
Positions (direct):
Rb 0.0000 0.0000 0.0000
Cr 0.5000 0.5000 0.0000
Ga 0.0000 0.0000 0.5000
Pt 0.0000 0.5000 0.5000
Pt 0.5000 0.0000 0.5000

***

Material: RuO2F5
Method: DFT, PBE
State: optimized geometry

Values from the calculation:
- Formation energy from raw total energies: -117 kJ per mole of atoms
- Magnetization: 4.95 μB per formula unit

Cell: 6.2517 6.2517 6.2517 Å, 100.06 91.87 142.43°
Positions (direct):
Ru 0.0000 0.0000 0.0000
O 0.3402 0.8402 0.5000
O 0.6420 0.1420 0.5000
F 0.1524 0.1659 0.3178
F 0.1524 0.8346 0.9864
F 0.5000 0.5000 0.0000
F 0.8482 0.1659 0.0136
F 0.8482 0.8346 0.6822

***

Material: Al2S3
Method: DFT, PBE
State: optimized geometry

Values from the calculation:
- Formation energy from raw total energies: -84 kJ per mole of atoms
- Magnetization: 0.00 μB per formula unit

Cell: 6.5186 6.8043 18.3750 Å, 94.97 94.30 112.86°
Positions (direct):
Al 0.0000 0.0000 0.0000
Al 0.0129 0.1639 0.3479
Al 0.0302 0.6779 0.3637
Al 0.0732 0.7518 0.7037
Al 0.1216 0.5316 0.5313
Al 0.1583 0.9944 0.5454
Al 0.3980 0.9909 0.2922
Al 0.4709 0.0359 0.8794
Al 0.5536 0.5752 0.9992
Al 0.6651 0.1126 0.7623
Al 0.8460 0.8368 0.1682
Al 0.8981 0.6759 0.8342
S 0.0670 0.7014 0.2430
S 0.1250 0.0608 0.1169
S 0.2301 0.3246 0.5954
S 0.2447 0.6949 0.8206
S 0.2809 0.2403 0.9373
S 0.3546 0.2935 0.3152
S 0.4048 0.7828 0.3904
S 0.4060 0.9245 0.6607
S 0.4245 0.8582 0.5083
S 0.5513 0.5525 0.1176
S 0.6194 0.9413 0.9846
S 0.7345 0.4495 0.7316
S 0.7379 0.0586 0.2490
S 0.8921 0.3815 0.4196
S 0.8951 0.6281 0.9546
S 0.8985 0.6864 0.5816
S 0.9345 0.9160 0.4277
S 0.9484 0.9810 0.7770

***

Material: Y3TlS2
Method: DFT, PBE
State: optimized geometry

Values from the calculation:
- Formation energy from raw total energies: -119 kJ per mole of atoms
- Magnetization: 0.00 μB per formula unit

Cell: 6.7244 6.7244 9.5663 Å, 90.00 90.00 137.25°
Positions (direct):
Y 0.1065 0.8935 0.7500
Y 0.3683 0.6317 0.5510
Y 0.3683 0.6317 0.9490
Y 0.6317 0.3683 0.0510
Y 0.6317 0.3683 0.4490
Y 0.8935 0.1065 0.2500
Tl 0.2207 0.7793 0.2500
Tl 0.7793 0.2207 0.7500
S 0.0000 0.0000 0.0000
S 0.0000 0.0000 0.5000
S 0.4703 0.5297 0.2500
S 0.5297 0.4703 0.7500

***

- Which of these has the highest magnetization?
  PuPa2Pd8